(1)
Density functional theory data (GGA-PBE) for crystalline CaAg2Ir at its relaxed geometry.

Lattice parameters (Å, degrees): 4.161 4.161 4.304 90.00 90.00 90.00
Sites, in units of the cell vectors:
Ca: 0.500 0.000 0.500
Ir: 0.000 0.500 0.500
Ag: 0.000 0.000 0.000
Ag: 0.500 0.500 0.000

E_form = 0.043 eV/f.u.
polymorph energy (0 for the lowest one) = 0 meV per atom

(2)
Density functional theory data (GGA-PBE) for crystalline BaSCl6 at its relaxed geometry.

Lattice parameters (Å, degrees): 6.280 6.280 6.256 103.25 103.25 103.55
Sites, in units of the cell vectors:
Ba: 0.000 0.000 0.000
S: 0.500 0.500 0.500
Cl: 0.215 0.215 0.549
Cl: 0.547 0.215 0.215
Cl: 0.785 0.785 0.451
Cl: 0.785 0.453 0.785
Cl: 0.453 0.785 0.785
Cl: 0.215 0.547 0.215

uncorrected formation energy = -0.946 eV/atom

(3)
Density functional theory data (GGA-PBE) for crystalline LiSiNi at its relaxed geometry.

Lattice parameters (Å, degrees): 3.865 3.865 3.865 60.00 60.00 60.00
Sites, in units of the cell vectors:
Li: 0.500 0.500 0.500
Ni: 0.250 0.250 0.250
Si: 0.000 0.000 0.000

uncorrected formation energy = -0.156 eV/atom

(4)
Density functional theory data (GGA-PBE) for crystalline Na2TbHoTe4 at its relaxed geometry.

Lattice parameters (Å, degrees): 4.429 7.666 7.986 108.65 90.00 90.00
Sites, in units of the cell vectors:
Na: 0.500 0.000 0.500
Na: 0.000 0.500 0.500
Tb: 0.000 0.000 0.000
Ho: 0.500 0.500 0.000
Te: 0.500 0.246 0.232
Te: 0.500 0.754 0.768
Te: 0.000 0.258 0.769
Te: 0.000 0.742 0.231

uncorrected formation energy = -1.316 eV/atom

(5)
Density functional theory data (GGA-PBE) for crystalline HfSnN2O at its relaxed geometry.

Lattice parameters (Å, degrees): 4.274 4.274 4.090 90.00 90.00 90.00
Site moments in Bohr magnetons follow the coordinates.
Sites, in units of the cell vectors:
Hf: 0.000 0.000 0.000  -0.02
Sn: 0.500 0.500 0.500  0.02
O: 0.000 0.000 0.500  0.17
N: 0.000 0.500 0.000  0.61
N: 0.500 0.000 0.000  0.61

uncorrected formation energy = -0.508 eV/atom

(6)
Density functional theory data (GGA-PBE) for crystalline Pm12Ru5Pb at its relaxed geometry.

Lattice parameters (Å, degrees): 8.639 8.639 8.639 105.39 112.60 110.51
Sites, in units of the cell vectors:
Pm: 0.544 0.821 0.722
Pm: 0.456 0.179 0.278
Pm: 0.901 0.179 0.722
Pm: 0.099 0.821 0.278
Pm: 0.685 0.673 0.358
Pm: 0.315 0.327 0.642
Pm: 0.315 0.673 0.988
Pm: 0.685 0.327 0.012
Pm: 0.810 0.584 0.774
Pm: 0.190 0.416 0.226
Pm: 0.190 0.964 0.774
Pm: 0.810 0.036 0.226
Ru: 0.666 0.666 0.000
Ru: 0.334 0.334 0.000
Ru: 0.500 0.121 0.621
Ru: 0.500 0.879 0.379
Ru: 0.000 0.000 0.000
Pb: 0.000 0.500 0.500

E_form = -4.918 eV/f.u.

Copy entry 4 word for word.
Density functional theory data (GGA-PBE) for crystalline Na2TbHoTe4 at its relaxed geometry.

Lattice parameters (Å, degrees): 4.429 7.666 7.986 108.65 90.00 90.00
Sites, in units of the cell vectors:
Na: 0.500 0.000 0.500
Na: 0.000 0.500 0.500
Tb: 0.000 0.000 0.000
Ho: 0.500 0.500 0.000
Te: 0.500 0.246 0.232
Te: 0.500 0.754 0.768
Te: 0.000 0.258 0.769
Te: 0.000 0.742 0.231

uncorrected formation energy = -1.316 eV/atom

What is the formula in the fourth record? Na2TbHoTe4